# LiLuAgAu | Alexandria | GGA-PBE | optimized geometry
# N(E_F): 11.52 states/eV/cell
# VASP energy: -3.626 eV/atom
data_LiLuAgAu
_symmetry_space_group_name_H-M 'F -4 3 m'
_symmetry_Int_Tables_number 216
_symmetry_space_group_name_Hall 'F -4 2 3'
_cell_length_a 6.782
_cell_length_b 6.782
_cell_length_c 6.782
_cell_angle_alpha 90.00
_cell_angle_beta 90.00
_cell_angle_gamma 90.00
loop_
_atom_site_label
_atom_site_type_symbol
_atom_site_fract_x
_atom_site_fract_y
_atom_site_fract_z
Li1 Li 0.000 0.000 0.000
Lu1 Lu 0.000 0.000 0.500
Ag1 Ag 0.250 0.250 0.250
Au1 Au 0.250 0.250 0.750